An optimized crystal structure of VF2, computed with GGA+U.

Summary:
For the calculated density, the calculation gives 3712 kg/m³. For the volume, the calculation gives 13.3 A^3/atom. As for the total energy: -6.405 eV per atom.

a b c (Å): 4.898 4.898 3.318
angles (deg): 90.00 90.00 90.00
Space group P4_2/mnm (No. 136)
Asymmetric unit:
V (0.000, 0.000, 0.000) (multiplicity 2)
F (0.194, 0.194, 0.500) (multiplicity 4)